<w>
Computed, not measured: a relaxed CaY2Tl crystal at the PBE level of DFT.

a = 5.9817 Å, b = 5.9817 Å, c = 5.9817 Å
α = 130.73°, β = 130.73°, γ = 72.25°
With the nearest neighbours (Å) after each atom.
Sites, in units of the cell vectors:
Y (0.0000, 0.0000, 0.0000)  4 Tl 3.47, 4 Ca 3.47, 4 Y 3.53
Y (0.5000, 0.5000, 0.0000)  4 Ca 3.47, 4 Tl 3.47, 4 Y 3.53
Tl (0.7500, 0.2500, 0.5000)  8 Y 3.47, 4 Ca 3.53
Ca (0.2500, 0.7500, 0.5000)  8 Y 3.47, 4 Tl 3.53

The symmetry is I4/mmm.



<x>
Computed, not measured: a relaxed CaY2Tl crystal at the PBE level of DFT.

a = 3.6823 Å, b = 3.6823 Å, c = 9.5831 Å
α = 90.00°, β = 90.00°, γ = 90.00°
With the nearest neighbours (Å) after each atom.
Sites, in units of the cell vectors:
Y (0.0000, 0.0000, 0.9570)  4 Tl 3.27
Y (0.0000, 0.0000, 0.5430)  4 Tl 3.27
Tl (0.5000, 0.5000, 0.7500)  8 Y 3.27
Ca (0.5000, 0.5000, 0.2500)  4 Ca 3.68, 8 Y 3.83

The symmetry is P4/mmm.



Stability order, top to bottom: <x>, <w>



<w>
Computed, not measured: a relaxed Ca2YTl crystal at the PBE level of DFT.

a = 3.6509 Å, b = 4.7927 Å, c = 7.4052 Å
α = 90.00°, β = 90.00°, γ = 90.00°
With the nearest neighbours (Å) after each atom.
Sites, in units of the cell vectors:
Y (0.5000, 0.5000, 0.7215)  5 Ca 3.31-3.60, 4 Tl 3.38, 2 Y 3.65
Tl (0.0000, 0.0000, 0.5159)  4 Y 3.38, 5 Ca 3.49-3.50, 2 Tl 3.65
Ca (0.0000, 0.0000, 0.9875)  1 Tl 3.49, 4 Y 3.60, 6 Ca 3.65-3.69
Ca (0.5000, 0.5000, 0.2750)  1 Y 3.31, 4 Tl 3.50, 6 Ca 3.65-3.69

The symmetry is Pmm2.



<x>
Computed, not measured: a relaxed Ca2YTl crystal at the PBE level of DFT.

a = 6.6346 Å, b = 6.6443 Å, c = 3.5640 Å
α = 79.81°, β = 79.47°, γ = 116.76°
With the nearest neighbours (Å) after each atom.
Sites, in units of the cell vectors:
Y (0.5000, 0.5000, 0.0000)  2 Tl 3.47, 4 Ca 3.48, 2 Y 3.56
Tl (0.0000, 0.5000, 0.5000)  2 Y 3.47, 4 Ca 3.48, 2 Tl 3.56
Ca (0.0000, 0.0000, 0.0000)  4 Ca 3.47-3.56, 2 Y 3.48, 2 Tl 3.48
Ca (0.5000, 0.0000, 0.5000)  4 Ca 3.47-3.56, 2 Tl 3.48, 2 Y 3.48

The symmetry is C2/m.



Stability order, top to bottom: <w>, <x>



<w>
Computed, not measured: a relaxed Ca2YTl crystal at the PBE level of DFT.

a = 11.5751 Å, b = 11.5751 Å, c = 11.5751 Å
α = 18.49°, β = 18.49°, γ = 18.49°
With the nearest neighbours (Å) after each atom.
Sites, in units of the cell vectors:
Y (0.7500, 0.7500, 0.7500)  6 Y 3.72, 6 Ca 3.79
Tl (0.2500, 0.2500, 0.2500)  6 Ca 3.34, 6 Tl 3.72
Ca (0.9917, 0.9917, 0.9917)  3 Tl 3.34, 6 Ca 3.72
Ca (0.5083, 0.5083, 0.5083)  3 Tl 3.34, 6 Ca 3.72

The symmetry is R-3m.



<x>
Computed, not measured: a relaxed Ca2YTl crystal at the PBE level of DFT.

a = 9.1032 Å, b = 9.1032 Å, c = 7.2529 Å
α = 51.13°, β = 51.13°, γ = 90.00°
With the nearest neighbours (Å) after each atom.
Sites, in units of the cell vectors:
Y (0.5000, 0.5000, 0.0000)  2 Tl 3.34, 4 Ca 3.60
Y (0.2500, 0.7500, 0.5000)  2 Tl 3.34, 4 Ca 3.60
Tl (0.0000, 0.0000, 0.0000)  4 Ca 3.08, 2 Y 3.34
Tl (0.7500, 0.2500, 0.5000)  4 Ca 3.08, 2 Y 3.34
Ca (0.6670, 0.1250, 0.2500)  2 Tl 3.08, 2 Ca 3.43
Ca (0.0830, 0.6250, 0.2500)  2 Tl 3.08, 2 Ca 3.43
Ca (0.3750, 0.3330, 0.7500)  2 Tl 3.08, 2 Ca 3.43
Ca (0.8750, 0.9170, 0.7500)  2 Tl 3.08, 2 Ca 3.43

The symmetry is I-42d.



Stability order, top to bottom: <w>, <x>



<w>
Computed, not measured: a relaxed Ca2YTl crystal at the PBE level of DFT.

a = 5.1046 Å, b = 3.7247 Å, c = 7.3720 Å
α = 71.38°, β = 90.00°, γ = 90.00°
With the nearest neighbours (Å) after each atom.
Sites, in units of the cell vectors:
Y (0.5000, 0.6793, 0.7249)  2 Tl 3.17, 1 Ca 3.42
Tl (0.0000, 0.5026, 0.5122)  2 Y 3.17, 3 Ca 3.30-3.41
Ca (0.0000, 0.0010, 0.9893)  2 Tl 3.41-3.71, 4 Y 3.64-3.68, 6 Ca 3.72-3.74
Ca (0.5000, 0.3171, 0.2736)  2 Tl 3.30, 1 Y 3.42

The symmetry is Pm.



<x>
Computed, not measured: a relaxed Ca2YTl crystal at the PBE level of DFT.

a = 6.8728 Å, b = 6.8728 Å, c = 5.5705 Å
α = 66.15°, β = 66.15°, γ = 33.24°
With the nearest neighbours (Å) after each atom.
Sites, in units of the cell vectors:
Y (0.2500, 0.2500, 0.2500)  4 Tl 3.41, 4 Ca 3.81-3.82
Tl (0.7500, 0.7500, 0.7500)  4 Ca 3.26, 4 Y 3.41
Ca (0.0319, 0.0319, 0.9682)  2 Tl 3.26, 4 Ca 3.49
Ca (0.4681, 0.4681, 0.5318)  2 Tl 3.26, 4 Ca 3.49

The symmetry is C2/m.



Stability order, top to bottom: <x>, <w>



<w>
Computed, not measured: a relaxed Ca2YTl crystal at the PBE level of DFT.

a = 6.2982 Å, b = 6.2982 Å, c = 6.2982 Å
α = 134.42°, β = 134.42°, γ = 66.43°
With the nearest neighbours (Å) after each atom.
Sites, in units of the cell vectors:
Y (0.7500, 0.2500, 0.5000)  4 Tl 3.45, 8 Ca 3.59
Tl (0.2500, 0.7500, 0.5000)  4 Y 3.45, 8 Ca 3.59
Ca (0.0000, 0.0000, 0.0000)  4 Ca 3.45, 4 Y 3.59, 4 Tl 3.59
Ca (0.5000, 0.5000, 0.0000)  4 Ca 3.45, 4 Tl 3.59, 4 Y 3.59

The symmetry is I4/mmm.



<x>
Computed, not measured: a relaxed Ca2YTl crystal at the PBE level of DFT.

a = 3.7556 Å, b = 3.7556 Å, c = 9.6715 Å
α = 90.00°, β = 90.00°, γ = 90.00°
With the nearest neighbours (Å) after each atom.
Sites, in units of the cell vectors:
Y (0.5000, 0.5000, 0.7054)  4 Tl 3.27
Tl (0.0000, 0.0000, 0.5079)  4 Y 3.27, 4 Ca 3.34
Ca (0.0000, 0.0000, 0.9879)  8 Ca 3.76-4.01, 4 Y 3.81
Ca (0.5000, 0.5000, 0.2989)  4 Tl 3.34

The symmetry is P4mm.



<y>
Computed, not measured: a relaxed Ca2YTl crystal at the PBE level of DFT.

a = 6.2223 Å, b = 6.2223 Å, c = 3.6587 Å
α = 90.00°, β = 90.00°, γ = 111.74°
With the nearest neighbours (Å) after each atom.
Sites, in units of the cell vectors:
Y (0.0000, 0.5000, 0.5000)  2 Tl 3.49, 8 Ca 3.61, 2 Y 3.66
Tl (0.5000, 0.0000, 0.5000)  2 Y 3.49, 8 Ca 3.61, 2 Tl 3.66
Ca (0.0000, 0.0000, 0.0000)  4 Ca 3.49-3.66, 4 Tl 3.61, 4 Y 3.61
Ca (0.5000, 0.5000, 0.0000)  4 Ca 3.49-3.66, 4 Y 3.61, 4 Tl 3.61

The symmetry is Cmmm.



Stability order, top to bottom: <x>, <w>, <y>



<w>
Computed, not measured: a relaxed Ca2YTl crystal at the PBE level of DFT.

a = 3.7423 Å, b = 3.7423 Å, c = 11.4447 Å
α = 80.59°, β = 80.59°, γ = 60.00°
With the nearest neighbours (Å) after each atom.
Sites, in units of the cell vectors:
Ca (0.0751, 0.0751, 0.7747)  3 Tl 3.34
Ca (0.2578, 0.2578, 0.2267)  3 Tl 3.33
Y (0.5007, 0.5007, 0.4979)  6 Ca 3.74-3.79, 6 Y 3.74
Tl (0.6664, 0.6664, 0.0008)  6 Ca 3.33-3.34

The symmetry is R3m.



<x>
Computed, not measured: a relaxed Ca2YTl crystal at the PBE level of DFT.

a = 4.1960 Å, b = 4.1960 Å, c = 7.3426 Å
α = 90.00°, β = 90.00°, γ = 90.00°
With the nearest neighbours (Å) after each atom.
Sites, in units of the cell vectors:
Y (0.5000, 0.5000, 0.7500)  8 Ca 3.55, 2 Tl 3.67
Tl (0.5000, 0.5000, 0.2500)  8 Ca 3.43, 2 Y 3.67
Ca (0.0000, 0.0000, 0.0159)  4 Tl 3.43, 1 Ca 3.44, 4 Y 3.55
Ca (0.0000, 0.0000, 0.4841)  4 Tl 3.43, 1 Ca 3.44, 4 Y 3.55

The symmetry is P4/mmm.



<y>
Computed, not measured: a relaxed Ca2YTl crystal at the PBE level of DFT.

a = 5.6664 Å, b = 5.6664 Å, c = 5.6664 Å
α = 60.00°, β = 60.00°, γ = 60.00°
With the nearest neighbours (Å) after each atom.
Sites, in units of the cell vectors:
Y (0.0000, 0.0000, 0.0000)  8 Ca 3.47
Tl (0.5000, 0.5000, 0.5000)  8 Ca 3.47
Ca (0.2500, 0.2500, 0.2500)  4 Tl 3.47, 4 Y 3.47
Ca (0.7500, 0.7500, 0.7500)  4 Tl 3.47, 4 Y 3.47

The symmetry is Fm-3m.



Stability order, top to bottom: <x>, <w>, <y>



<w>
Computed, not measured: a relaxed CaTl2Zn2 crystal at the PBE level of DFT.

a = 8.3878 Å, b = 8.3878 Å, c = 3.5819 Å
α = 90.00°, β = 90.00°, γ = 90.00°
With the nearest neighbours (Å) after each atom.
Sites, in units of the cell vectors:
Tl (0.3620, 0.8620, 0.0000)  6 Zn 3.00-3.08, 2 Ca 3.25, 1 Tl 3.27
Tl (0.8620, 0.6380, 0.0000)  6 Zn 3.00-3.08, 2 Ca 3.25, 1 Tl 3.27
Tl (0.6380, 0.1380, 0.0000)  6 Zn 3.00-3.08, 2 Ca 3.25, 1 Tl 3.27
Tl (0.1380, 0.3620, 0.0000)  6 Zn 3.00-3.08, 2 Ca 3.25, 1 Tl 3.27
Ca (0.0000, 0.0000, 0.0000)  4 Tl 3.25, 2 Ca 3.58, 8 Zn 3.63
Ca (0.5000, 0.5000, 0.0000)  4 Tl 3.25, 2 Ca 3.58, 8 Zn 3.63
Zn (0.1595, 0.6595, 0.5000)  6 Tl 3.00-3.08
Zn (0.6595, 0.8405, 0.5000)  6 Tl 3.00-3.08
Zn (0.8405, 0.3405, 0.5000)  6 Tl 3.00-3.08
Zn (0.3405, 0.1595, 0.5000)  6 Tl 3.00-3.08

The symmetry is P4/mbm.



<x>
Computed, not measured: a relaxed CaTl2Zn2 crystal at the PBE level of DFT.

a = 8.0094 Å, b = 8.0094 Å, c = 3.8396 Å
α = 90.00°, β = 90.00°, γ = 90.00°
With the nearest neighbours (Å) after each atom.
Sites, in units of the cell vectors:
Tl (0.1839, 0.6839, 0.5000)  6 Zn 2.98-3.12
Tl (0.6839, 0.8161, 0.5000)  6 Zn 2.98-3.12
Tl (0.8161, 0.3161, 0.5000)  6 Zn 2.98-3.12
Tl (0.3161, 0.1839, 0.5000)  6 Zn 2.98-3.12
Ca (0.0000, 0.0000, 0.0000)  4 Zn 3.22, 8 Tl 3.50
Ca (0.5000, 0.5000, 0.0000)  4 Zn 3.22, 8 Tl 3.50
Zn (0.3855, 0.8855, 0.0000)  1 Zn 2.59
Zn (0.8855, 0.6145, 0.0000)  1 Zn 2.59
Zn (0.6145, 0.1145, 0.0000)  1 Zn 2.59
Zn (0.1145, 0.3855, 0.0000)  1 Zn 2.59

The symmetry is P4/mbm.



<y>
Computed, not measured: a relaxed CaTl2Zn2 crystal at the PBE level of DFT.

a = 4.6661 Å, b = 4.6661 Å, c = 6.6197 Å
α = 69.36°, β = 69.36°, γ = 90.00°
With the nearest neighbours (Å) after each atom.
Sites, in units of the cell vectors:
Tl (0.7500, 0.2500, 0.5000)  4 Zn 2.87
Tl (0.2500, 0.7500, 0.5000)  4 Zn 2.87
Ca (0.0000, 0.0000, 0.0000)  8 Zn 3.51, 8 Tl 3.70
Zn (0.3951, 0.3951, 0.2099)  1 Zn 2.41
Zn (0.6049, 0.6049, 0.7901)  1 Zn 2.41

The symmetry is I4/mmm.



Stability order, top to bottom: <y>, <x>, <w>



<w>
Computed, not measured: a relaxed Ca3Tl2Zn crystal at the PBE level of DFT.

a = 3.8122 Å, b = 3.8122 Å, c = 11.5610 Å
α = 90.00°, β = 90.00°, γ = 90.00°
With the nearest neighbours (Å) after each atom.
Sites, in units of the cell vectors:
Ca (0.0000, 0.0000, 0.0000)  8 Tl 3.35
Ca (0.0000, 0.0000, 0.6551)  4 Zn 3.24, 4 Tl 3.35, 1 Ca 3.59
Ca (0.0000, 0.0000, 0.3449)  4 Zn 3.24, 4 Tl 3.35, 1 Ca 3.59
Tl (0.5000, 0.5000, 0.8273)  8 Ca 3.35
Tl (0.5000, 0.5000, 0.1727)  8 Ca 3.35
Zn (0.5000, 0.5000, 0.5000)  8 Ca 3.24

The symmetry is P4/mmm.



<x>
Computed, not measured: a relaxed Ca3Tl2Zn crystal at the PBE level of DFT.

a = 3.8555 Å, b = 5.3949 Å, c = 8.5198 Å
α = 108.46°, β = 90.00°, γ = 90.00°
With the nearest neighbours (Å) after each atom.
Sites, in units of the cell vectors:
Ca (0.5000, 0.5000, 0.0000)  4 Zn 3.32, 4 Tl 3.34
Ca (0.5000, 0.8400, 0.6801)  2 Zn 3.23, 6 Tl 3.32-3.37
Ca (0.5000, 0.1600, 0.3199)  2 Zn 3.23, 6 Tl 3.32-3.37
Tl (0.0000, 0.3311, 0.6622)  8 Ca 3.32-3.37
Tl (0.0000, 0.6689, 0.3378)  8 Ca 3.32-3.37
Zn (0.0000, 0.0000, 0.0000)  8 Ca 3.23-3.32

The symmetry is Cmmm.



Stability order, top to bottom: <w>, <x>